## w
## Li2Ag5Pd2 (PBE-GGA)

Data for a geometry-optimized Li2Ag5Pd2 structure.

Geometry as CIF:
```
data_Li2Ag5Pd2
_cell_length_a 4.9518
_cell_length_b 4.9685
_cell_length_c 6.3515
_cell_angle_alpha 83.07
_cell_angle_beta 75.39
_cell_angle_gamma 80.38
_space_group_name_H-M_alt 'P 1'
_space_group_IT_number 1
loop_
_space_group_symop_operation_xyz
'x,y,z'
loop_
_atom_site_label
_atom_site_type_symbol
_atom_site_fract_x
_atom_site_fract_y
_atom_site_fract_z
Li1 Li 0.1776 0.3253 0.3426
Li2 Li 0.8224 0.6747 0.6574
Ag1 Ag 0.0548 0.1121 0.7675
Ag2 Ag 0.2776 0.5558 0.8823
Ag3 Ag 0.5000 0.0000 0.0000
Ag4 Ag 0.7224 0.4442 0.1177
Ag5 Ag 0.9452 0.8879 0.2325
Pd1 Pd 0.3887 0.7743 0.4439
Pd2 Pd 0.6113 0.2257 0.5561
```

## Properties
* magnetic moment: 0.000 μB per atom
* symmetry: P-1, No. 2

***

## x
## Li2Ag5Pd2 (PBE-GGA)

Data for a geometry-optimized Li2Ag5Pd2 structure.

Geometry as CIF:
```
data_Li2Ag5Pd2
_cell_length_a 9.0701
_cell_length_b 9.0701
_cell_length_c 9.0701
_cell_angle_alpha 143.79
_cell_angle_beta 57.66
_cell_angle_gamma 136.73
_space_group_name_H-M_alt 'P 1'
_space_group_IT_number 1
loop_
_space_group_symop_operation_xyz
'x,y,z'
loop_
_atom_site_label
_atom_site_type_symbol
_atom_site_fract_x
_atom_site_fract_y
_atom_site_fract_z
Li1 Li 0.1774 0.1441 0.0333
Li2 Li 0.3893 0.8559 0.5333
Li3 Li 0.6107 0.1441 0.4667
Li4 Li 0.8226 0.8559 0.9667
Ag1 Ag 0.1356 0.0000 0.6356
Ag2 Ag 0.1356 0.5000 0.1356
Ag3 Ag 0.2015 0.9515 0.2500
Ag4 Ag 0.4061 0.0000 0.9061
Ag5 Ag 0.4061 0.5000 0.4061
Ag6 Ag 0.5939 0.0000 0.0939
Ag7 Ag 0.5939 0.5000 0.5939
Ag8 Ag 0.7985 0.0485 0.7500
Ag9 Ag 0.8644 0.0000 0.3644
Ag10 Ag 0.8644 0.5000 0.8644
Pd1 Pd 0.0000 0.5000 0.5000
Pd2 Pd 0.2107 0.4607 0.7500
Pd3 Pd 0.5000 0.5000 0.0000
Pd4 Pd 0.7893 0.5393 0.2500
```

## Properties
* magnetic moment: 0.000 μB per atom
* symmetry: Imma, No. 74

***

Verdict on stability: w comes out on top.

***

## w
## Li3Ag4Pd2 (PBE-GGA)

Data for a geometry-optimized Li3Ag4Pd2 structure.

Geometry as CIF:
```
data_Li3Ag4Pd2
_cell_length_a 4.9404
_cell_length_b 4.9404
_cell_length_c 8.4123
_cell_angle_alpha 108.22
_cell_angle_beta 108.22
_cell_angle_gamma 48.29
_space_group_name_H-M_alt 'P 1'
_space_group_IT_number 1
loop_
_space_group_symop_operation_xyz
'x,y,z'
loop_
_atom_site_label
_atom_site_type_symbol
_atom_site_fract_x
_atom_site_fract_y
_atom_site_fract_z
Li1 Li 0.0000 0.0000 0.0000
Li2 Li 0.3323 0.3323 0.4385
Li3 Li 0.6677 0.6677 0.5615
Ag1 Ag 0.0120 0.0120 0.3378
Ag2 Ag 0.3387 0.3387 0.1121
Ag3 Ag 0.6613 0.6613 0.8879
Ag4 Ag 0.9880 0.9880 0.6622
Pd1 Pd 0.3225 0.3225 0.7662
Pd2 Pd 0.6775 0.6775 0.2338
```

## Properties
* magnetic moment: 0.000 μB per atom
* symmetry: C2/m, No. 12

***

## x
## Li3Ag4Pd2 (PBE-GGA)

Data for a geometry-optimized Li3Ag4Pd2 structure.

Geometry as CIF:
```
data_Li3Ag4Pd2
_cell_length_a 7.7448
_cell_length_b 7.7448
_cell_length_c 4.9654
_cell_angle_alpha 97.93
_cell_angle_beta 97.93
_cell_angle_gamma 89.59
_space_group_name_H-M_alt 'P 1'
_space_group_IT_number 1
loop_
_space_group_symop_operation_xyz
'x,y,z'
loop_
_atom_site_label
_atom_site_type_symbol
_atom_site_fract_x
_atom_site_fract_y
_atom_site_fract_z
Li1 Li 0.0117 0.9883 0.7500
Li2 Li 0.3145 0.4497 0.4880
Li3 Li 0.4497 0.3145 0.9880
Li4 Li 0.5503 0.6855 0.0120
Li5 Li 0.6855 0.5503 0.5120
Li6 Li 0.9883 0.0117 0.2500
Ag1 Ag 0.0291 0.6656 0.4259
Ag2 Ag 0.2100 0.6137 0.9620
Ag3 Ag 0.3344 0.9709 0.0741
Ag4 Ag 0.3863 0.7900 0.5380
Ag5 Ag 0.6137 0.2100 0.4620
Ag6 Ag 0.6656 0.0291 0.9259
Ag7 Ag 0.7900 0.3863 0.0380
Ag8 Ag 0.9709 0.3344 0.5741
Pd1 Pd 0.1362 0.2722 0.0858
Pd2 Pd 0.2722 0.1362 0.5858
Pd3 Pd 0.7278 0.8638 0.4142
Pd4 Pd 0.8638 0.7278 0.9142
```

## Properties
* magnetic moment: 0.000 μB per atom
* symmetry: C2/c, No. 15

***

Verdict on stability: w comes out on top.

***

## w
## LiAg6Pd3 (PBE-GGA)

Data for a geometry-optimized LiAg6Pd3 structure.

Geometry as CIF:
```
data_LiAg6Pd3
_cell_length_a 4.4891
_cell_length_b 9.3048
_cell_length_c 9.6852
_cell_angle_alpha 90.00
_cell_angle_beta 117.56
_cell_angle_gamma 90.00
_space_group_name_H-M_alt 'P 1'
_space_group_IT_number 1
loop_
_space_group_symop_operation_xyz
'x,y,z'
loop_
_atom_site_label
_atom_site_type_symbol
_atom_site_fract_x
_atom_site_fract_y
_atom_site_fract_z
Li1 Li 0.0000 0.0000 0.0000
Li2 Li 0.0000 0.5000 0.5000
Ag1 Ag 0.0588 0.1801 0.5557
Ag2 Ag 0.0588 0.3199 0.0557
Ag3 Ag 0.2361 0.6565 0.7413
Ag4 Ag 0.2361 0.8435 0.2413
Ag5 Ag 0.4513 0.1845 0.9476
Ag6 Ag 0.4513 0.3155 0.4476
Ag7 Ag 0.5487 0.6845 0.5524
Ag8 Ag 0.5487 0.8155 0.0524
Ag9 Ag 0.7639 0.1565 0.7587
Ag10 Ag 0.7639 0.3435 0.2587
Ag11 Ag 0.9412 0.6801 0.9443
Ag12 Ag 0.9412 0.8199 0.4443
Pd1 Pd 0.2616 0.5516 0.2509
Pd2 Pd 0.2616 0.9484 0.7509
Pd3 Pd 0.5000 0.0000 0.5000
Pd4 Pd 0.5000 0.5000 0.0000
Pd5 Pd 0.7384 0.0516 0.2491
Pd6 Pd 0.7384 0.4484 0.7491
```

## Properties
* magnetic moment: 0.000 μB per atom
* symmetry: P2_1/c, No. 14

***

## x
## LiAg6Pd3 (PBE-GGA)

Data for a geometry-optimized LiAg6Pd3 structure.

Geometry as CIF:
```
data_LiAg6Pd3
_cell_length_a 10.4871
_cell_length_b 2.8222
_cell_length_c 11.6588
_cell_angle_alpha 90.00
_cell_angle_beta 99.92
_cell_angle_gamma 90.00
_space_group_name_H-M_alt 'P 1'
_space_group_IT_number 1
loop_
_space_group_symop_operation_xyz
'x,y,z'
loop_
_atom_site_label
_atom_site_type_symbol
_atom_site_fract_x
_atom_site_fract_y
_atom_site_fract_z
Li1 Li 0.0423 0.2500 0.2337
Li2 Li 0.9577 0.7500 0.7663
Ag1 Ag 0.1266 0.2500 0.9958
Ag2 Ag 0.1932 0.7500 0.4251
Ag3 Ag 0.2085 0.7500 0.7913
Ag4 Ag 0.2696 0.7500 0.2066
Ag5 Ag 0.3413 0.2500 0.6209
Ag6 Ag 0.4897 0.7500 0.8088
Ag7 Ag 0.5103 0.2500 0.1912
Ag8 Ag 0.6587 0.7500 0.3791
Ag9 Ag 0.7304 0.2500 0.7934
Ag10 Ag 0.7915 0.2500 0.2087
Ag11 Ag 0.8068 0.2500 0.5749
Ag12 Ag 0.8734 0.7500 0.0042
Pd1 Pd 0.0701 0.2500 0.5956
Pd2 Pd 0.3754 0.7500 0.0016
Pd3 Pd 0.4253 0.2500 0.4047
Pd4 Pd 0.5747 0.7500 0.5953
Pd5 Pd 0.6246 0.2500 0.9984
Pd6 Pd 0.9299 0.7500 0.4044
```

## Properties
* magnetic moment: 0.000 μB per atom
* symmetry: P2_1/m, No. 11

***

Verdict on stability: x comes out on top.

***

## w
## Li6PmAg6 (PBE-GGA)

Data for a geometry-optimized Li6PmAg6 structure.

Geometry as CIF:
```
data_Li6PmAg6
_cell_length_a 7.1158
_cell_length_b 7.1158
_cell_length_c 7.1158
_cell_angle_alpha 136.28
_cell_angle_beta 98.01
_cell_angle_gamma 97.92
_space_group_name_H-M_alt 'P 1'
_space_group_IT_number 1
loop_
_space_group_symop_operation_xyz
'x,y,z'
loop_
_atom_site_label
_atom_site_type_symbol
_atom_site_fract_x
_atom_site_fract_y
_atom_site_fract_z
Li1 Li 0.0000 0.0000 0.5000
Li2 Li 0.0000 0.5000 0.0000
Li3 Li 0.2308 0.0000 0.2308
Li4 Li 0.5000 0.0000 0.0000
Li5 Li 0.5000 0.5000 0.5000
Li6 Li 0.7692 0.0000 0.7692
Pm1 Pm 0.0000 0.5000 0.5000
Ag1 Ag 0.2076 0.2076 0.0000
Ag2 Ag 0.3465 0.5000 0.8465
Ag3 Ag 0.3479 0.8479 0.5000
Ag4 Ag 0.6521 0.1521 0.5000
Ag5 Ag 0.6535 0.5000 0.1535
Ag6 Ag 0.7924 0.7924 0.0000
```

## Properties
* magnetic moment: 0.000 μB per atom
* symmetry: Immm, No. 71

***

## x
## Li6PmAg6 (PBE-GGA)

Data for a geometry-optimized Li6PmAg6 structure.

Geometry as CIF:
```
data_Li6PmAg6
_cell_length_a 7.1853
_cell_length_b 7.1853
_cell_length_c 7.1853
_cell_angle_alpha 134.29
_cell_angle_beta 103.34
_cell_angle_gamma 94.07
_space_group_name_H-M_alt 'P 1'
_space_group_IT_number 1
loop_
_space_group_symop_operation_xyz
'x,y,z'
loop_
_atom_site_label
_atom_site_type_symbol
_atom_site_fract_x
_atom_site_fract_y
_atom_site_fract_z
Li1 Li 0.1415 0.1415 0.0000
Li2 Li 0.1544 0.5000 0.6544
Li3 Li 0.2881 0.7881 0.5000
Li4 Li 0.7119 0.2119 0.5000
Li5 Li 0.8456 0.5000 0.3456
Li6 Li 0.8585 0.8585 0.0000
Pm1 Pm 0.5000 0.5000 0.0000
Ag1 Ag 0.0000 0.0000 0.5000
Ag2 Ag 0.0000 0.5000 0.0000
Ag3 Ag 0.2963 0.0000 0.2963
Ag4 Ag 0.5000 0.0000 0.0000
Ag5 Ag 0.5000 0.5000 0.5000
Ag6 Ag 0.7037 0.0000 0.7037
```

## Properties
* magnetic moment: 0.000 μB per atom
* symmetry: Immm, No. 71

***

Verdict on stability: x comes out on top.

***

## w
## LiPmAg4 (PBE-GGA)

Data for a geometry-optimized LiPmAg4 structure.

Geometry as CIF:
```
data_LiPmAg4
_cell_length_a 8.4461
_cell_length_b 8.4461
_cell_length_c 6.5454
_cell_angle_alpha 90.00
_cell_angle_beta 90.00
_cell_angle_gamma 148.66
_space_group_name_H-M_alt 'P 1'
_space_group_IT_number 1
loop_
_space_group_symop_operation_xyz
'x,y,z'
loop_
_atom_site_label
_atom_site_type_symbol
_atom_site_fract_x
_atom_site_fract_y
_atom_site_fract_z
Li1 Li 0.2206 0.7794 0.7500
Li2 Li 0.7794 0.2206 0.2500
Pm1 Pm 0.1259 0.8741 0.2500
Pm2 Pm 0.8741 0.1259 0.7500
Ag1 Ag 0.0634 0.9366 0.7500
Ag2 Ag 0.3237 0.6763 0.0430
Ag3 Ag 0.3237 0.6763 0.4570
Ag4 Ag 0.5000 0.5000 0.0000
Ag5 Ag 0.5000 0.5000 0.5000
Ag6 Ag 0.6763 0.3237 0.5430
Ag7 Ag 0.6763 0.3237 0.9570
Ag8 Ag 0.9366 0.0634 0.2500
```

## Properties
* magnetic moment: 0.000 μB per atom
* symmetry: Cmcm, No. 63

***

## x
## LiPmAg4 (PBE-GGA)

Data for a geometry-optimized LiPmAg4 structure.

Geometry as CIF:
```
data_LiPmAg4
_cell_length_a 5.3812
_cell_length_b 4.6991
_cell_length_c 5.3942
_cell_angle_alpha 90.00
_cell_angle_beta 116.27
_cell_angle_gamma 90.00
_space_group_name_H-M_alt 'P 1'
_space_group_IT_number 1
loop_
_space_group_symop_operation_xyz
'x,y,z'
loop_
_atom_site_label
_atom_site_type_symbol
_atom_site_fract_x
_atom_site_fract_y
_atom_site_fract_z
Li1 Li 0.0000 0.0000 0.0000
Pm1 Pm 0.5157 0.5000 0.5165
Ag1 Ag 0.0567 0.0000 0.5226
Ag2 Ag 0.1789 0.5000 0.8620
Ag3 Ag 0.5223 0.0000 0.0573
Ag4 Ag 0.8614 0.5000 0.1792
```

## Properties
* magnetic moment: 0.000 μB per atom
* symmetry: Pm, No. 6

***

Verdict on stability: x comes out on top.

***

## w
## LiPm3Ag2 (PBE-GGA)

Data for a geometry-optimized LiPm3Ag2 structure.

Geometry as CIF:
```
data_LiPm3Ag2
_cell_length_a 3.7546
_cell_length_b 3.7546
_cell_length_c 11.2050
_cell_angle_alpha 90.00
_cell_angle_beta 90.00
_cell_angle_gamma 90.00
_space_group_name_H-M_alt 'P 1'
_space_group_IT_number 1
loop_
_space_group_symop_operation_xyz
'x,y,z'
loop_
_atom_site_label
_atom_site_type_symbol
_atom_site_fract_x
_atom_site_fract_y
_atom_site_fract_z
Li1 Li 0.0000 0.0000 0.0000
Pm1 Pm 0.5000 0.5000 0.1726
Pm2 Pm 0.5000 0.5000 0.5000
Pm3 Pm 0.5000 0.5000 0.8274
Ag1 Ag 0.0000 0.0000 0.3311
Ag2 Ag 0.0000 0.0000 0.6689
```

## Properties
* magnetic moment: 0.000 μB per atom
* symmetry: P4/mmm, No. 123

***

## x
## LiPm3Ag2 (PBE-GGA)

Data for a geometry-optimized LiPm3Ag2 structure.

Geometry as CIF:
```
data_LiPm3Ag2
_cell_length_a 8.3409
_cell_length_b 8.3409
_cell_length_c 3.7879
_cell_angle_alpha 90.00
_cell_angle_beta 90.00
_cell_angle_gamma 143.41
_space_group_name_H-M_alt 'P 1'
_space_group_IT_number 1
loop_
_space_group_symop_operation_xyz
'x,y,z'
loop_
_atom_site_label
_atom_site_type_symbol
_atom_site_fract_x
_atom_site_fract_y
_atom_site_fract_z
Li1 Li 0.0000 0.0000 0.0000
Pm1 Pm 0.1714 0.8286 0.5000
Pm2 Pm 0.5000 0.5000 0.5000
Pm3 Pm 0.8286 0.1714 0.5000
Ag1 Ag 0.3419 0.6581 0.0000
Ag2 Ag 0.6581 0.3419 0.0000
```

## Properties
* magnetic moment: 0.000 μB per atom
* symmetry: Cmmm, No. 65

***

Verdict on stability: x comes out on top.

***

## w
## LiPmAg2 (PBE-GGA)

Data for a geometry-optimized LiPmAg2 structure.

Geometry as CIF:
```
data_LiPmAg2
_cell_length_a 5.4536
_cell_length_b 5.4536
_cell_length_c 5.4536
_cell_angle_alpha 50.50
_cell_angle_beta 50.50
_cell_angle_gamma 50.50
_space_group_name_H-M_alt 'P 1'
_space_group_IT_number 1
loop_
_space_group_symop_operation_xyz
'x,y,z'
loop_
_atom_site_label
_atom_site_type_symbol
_atom_site_fract_x
_atom_site_fract_y
_atom_site_fract_z
Li1 Li 0.0000 0.0000 0.0000
Pm1 Pm 0.5000 0.5000 0.5000
Ag1 Ag 0.2832 0.2832 0.2832
Ag2 Ag 0.7168 0.7168 0.7168
```

## Properties
* magnetic moment: 0.000 μB per atom
* symmetry: R-3m, No. 166

***

## x
## LiPmAg2 (PBE-GGA)

Data for a geometry-optimized LiPmAg2 structure.

Geometry as CIF:
```
data_LiPmAg2
_cell_length_a 3.4579
_cell_length_b 3.4579
_cell_length_c 7.0694
_cell_angle_alpha 90.00
_cell_angle_beta 90.00
_cell_angle_gamma 90.00
_space_group_name_H-M_alt 'P 1'
_space_group_IT_number 1
loop_
_space_group_symop_operation_xyz
'x,y,z'
loop_
_atom_site_label
_atom_site_type_symbol
_atom_site_fract_x
_atom_site_fract_y
_atom_site_fract_z
Li1 Li 0.0000 0.0000 0.0000
Pm1 Pm 0.0000 0.0000 0.5000
Ag1 Ag 0.5000 0.5000 0.2034
Ag2 Ag 0.5000 0.5000 0.7966
```

## Properties
* magnetic moment: 0.000 μB per atom
* symmetry: P4/mmm, No. 123

***

## y
## LiPmAg2 (PBE-GGA)

Data for a geometry-optimized LiPmAg2 structure.

Geometry as CIF:
```
data_LiPmAg2
_cell_length_a 5.1205
_cell_length_b 5.1205
_cell_length_c 3.4429
_cell_angle_alpha 90.00
_cell_angle_beta 90.00
_cell_angle_gamma 90.00
_space_group_name_H-M_alt 'P 1'
_space_group_IT_number 1
loop_
_space_group_symop_operation_xyz
'x,y,z'
loop_
_atom_site_label
_atom_site_type_symbol
_atom_site_fract_x
_atom_site_fract_y
_atom_site_fract_z
Li1 Li 0.0000 0.0000 0.0000
Pm1 Pm 0.5000 0.5000 0.0000
Ag1 Ag 0.0000 0.5000 0.5000
Ag2 Ag 0.5000 0.0000 0.5000
```

## Properties
* magnetic moment: 0.000 μB per atom
* symmetry: P4/mmm, No. 123

***

Verdict on stability: w comes out on top.

***

## w
## Li4Pm3Ag4 (PBE-GGA)

Data for a geometry-optimized Li4Pm3Ag4 structure.

Geometry as CIF:
```
data_Li4Pm3Ag4
_cell_length_a 6.7813
_cell_length_b 6.7813
_cell_length_c 6.7813
_cell_angle_alpha 109.47
_cell_angle_beta 109.47
_cell_angle_gamma 109.47
_space_group_name_H-M_alt 'P 1'
_space_group_IT_number 1
loop_
_space_group_symop_operation_xyz
'x,y,z'
loop_
_atom_site_label
_atom_site_type_symbol
_atom_site_fract_x
_atom_site_fract_y
_atom_site_fract_z
Li1 Li 0.0000 0.0000 0.7563
Li2 Li 0.0000 0.7563 0.0000
Li3 Li 0.2437 0.2437 0.2437
Li4 Li 0.7563 0.0000 0.0000
Pm1 Pm 0.0000 0.5000 0.5000
Pm2 Pm 0.5000 0.0000 0.5000
Pm3 Pm 0.5000 0.5000 0.0000
Ag1 Ag 0.0000 0.0000 0.3999
Ag2 Ag 0.0000 0.3999 0.0000
Ag3 Ag 0.3999 0.0000 0.0000
Ag4 Ag 0.6001 0.6001 0.6001
```

## Properties
* magnetic moment: 0.000 μB per atom
* symmetry: I-43m, No. 217

***

## x
## Li4Pm3Ag4 (PBE-GGA)

Data for a geometry-optimized Li4Pm3Ag4 structure.

Geometry as CIF:
```
data_Li4Pm3Ag4
_cell_length_a 8.5968
_cell_length_b 8.5968
_cell_length_c 8.5968
_cell_angle_alpha 151.30
_cell_angle_beta 125.72
_cell_angle_gamma 62.55
_space_group_name_H-M_alt 'P 1'
_space_group_IT_number 1
loop_
_space_group_symop_operation_xyz
'x,y,z'
loop_
_atom_site_label
_atom_site_type_symbol
_atom_site_fract_x
_atom_site_fract_y
_atom_site_fract_z
Li1 Li 0.0168 0.8237 0.1930
Li2 Li 0.3693 0.1763 0.1930
Li3 Li 0.6307 0.8237 0.8070
Li4 Li 0.9832 0.1763 0.8070
Pm1 Pm 0.0000 0.5000 0.5000
Pm2 Pm 0.3776 0.3776 0.0000
Pm3 Pm 0.6224 0.6224 0.0000
Ag1 Ag 0.2178 0.7178 0.5000
Ag2 Ag 0.3088 0.0000 0.3088
Ag3 Ag 0.6912 0.0000 0.6912
Ag4 Ag 0.7822 0.2822 0.5000
```

## Properties
* magnetic moment: 0.000 μB per atom
* symmetry: Immm, No. 71

***

Verdict on stability: x comes out on top.